*a*
Density functional theory data (GGA-PBE) for a relaxed HPtSN2 crystal.

The space group is P4/mmm (No. 123) and the conventional cell measures 3.726, 3.726 and 5.420 Å, with angles of 90.00, 90.00 and 90.00 degrees. The inequivalent atoms are H at (0.000, 0.000, 0.000), Pt at (0.500, 0.500, 0.500), S at (0.500, 0.500, 0.000) and N at (0.000, 0.500, 0.500).

*b*
Density functional theory data (GGA-PBE) for a relaxed HPtSN2 crystal.

The space group is P4/mmm (No. 123) and the conventional cell measures 3.895, 3.895 and 3.091 Å, with angles of 90.00, 90.00 and 90.00 degrees. The inequivalent atoms are H at (0.000, 0.000, 0.000), Pt at (0.500, 0.500, 0.500), S at (0.000, 0.000, 0.500) and N at (0.000, 0.500, 0.000).

Stability order, top to bottom: *a*, *b*